Here is crystalline KMg2P at its relaxed geometry from Alexandria. Energies are from PBE-GGA.

Calculated values
The calculation puts the formation energy at 0.023 eV per atom. As for the space group: Pmmm. The calculation puts the raw total energy at -2.40 eV per atom.

Geometry as CIF:
```
data_KMg2P
_chemical_formula_sum 'K1 Mg2 P1'
_symmetry_space_group_name_H-M 'P 1'
_symmetry_Int_Tables_number 1
_cell_length_a 3.088
_cell_length_b 3.759
_cell_length_c 9.138
_cell_angle_alpha 90.00
_cell_angle_beta 90.00
_cell_angle_gamma 90.00
loop_
_symmetry_equiv_pos_as_xyz
'x,y,z'
loop_
_atom_site_label
_atom_site_fract_x
_atom_site_fract_y
_atom_site_fract_z
K1 0.000 0.000 0.000
Mg1 0.500 0.500 0.338
Mg2 0.500 0.500 0.662
P1 0.000 0.000 0.500
```

***

Here is crystalline K2MgP at its relaxed geometry from Alexandria. Energies are from PBE-GGA.

Calculated values
The calculation puts the formation energy at 0.307 eV per atom. As for the space group: R-3m. The calculation puts the raw total energy at -1.99 eV per atom.

Geometry as CIF:
```
data_K2MgP
_chemical_formula_sum 'K2 Mg1 P1'
_symmetry_space_group_name_H-M 'P 1'
_symmetry_Int_Tables_number 1
_cell_length_a 11.868
_cell_length_b 11.868
_cell_length_c 11.868
_cell_angle_alpha 17.51
_cell_angle_beta 17.51
_cell_angle_gamma 17.51
loop_
_symmetry_equiv_pos_as_xyz
'x,y,z'
loop_
_atom_site_label
_atom_site_fract_x
_atom_site_fract_y
_atom_site_fract_z
K1 0.234 0.234 0.234
K2 0.766 0.766 0.766
Mg1 0.000 0.000 0.000
P1 0.500 0.500 0.500
```

***

Here is crystalline K2MgP at its relaxed geometry from Alexandria. Energies are from PBE-GGA.

Calculated values
The calculation puts the formation energy at -0.106 eV per atom. As for the space group: P4mm. The calculation puts the raw total energy at -2.41 eV per atom.

Geometry as CIF:
```
data_K2MgP
_chemical_formula_sum 'K2 Mg1 P1'
_symmetry_space_group_name_H-M 'P 1'
_symmetry_Int_Tables_number 1
_cell_length_a 3.776
_cell_length_b 3.776
_cell_length_c 10.006
_cell_angle_alpha 90.00
_cell_angle_beta 90.00
_cell_angle_gamma 90.00
loop_
_symmetry_equiv_pos_as_xyz
'x,y,z'
loop_
_atom_site_label
_atom_site_fract_x
_atom_site_fract_y
_atom_site_fract_z
K1 0.000 0.000 0.000
K2 0.500 0.500 0.399
Mg1 0.000 0.000 0.689
P1 0.500 0.500 0.727
```

***

Here is crystalline K2MgP at its relaxed geometry from Alexandria. Energies are from PBE-GGA.

Calculated values
The calculation puts the formation energy at 0.214 eV per atom. As for the space group: Cmmm. The calculation puts the raw total energy at -2.09 eV per atom.

Geometry as CIF:
```
data_K2MgP
_chemical_formula_sum 'K2 Mg1 P1'
_symmetry_space_group_name_H-M 'P 1'
_symmetry_Int_Tables_number 1
_cell_length_a 5.832
_cell_length_b 5.832
_cell_length_c 3.790
_cell_angle_alpha 90.00
_cell_angle_beta 90.00
_cell_angle_gamma 106.95
loop_
_symmetry_equiv_pos_as_xyz
'x,y,z'
loop_
_atom_site_label
_atom_site_fract_x
_atom_site_fract_y
_atom_site_fract_z
K1 0.000 0.500 0.000
K2 0.500 0.000 0.000
Mg1 0.000 0.000 0.500
P1 0.500 0.500 0.500
```

***

Here is crystalline K2MgP at its relaxed geometry from Alexandria. Energies are from PBE-GGA.

Calculated values
The calculation puts the formation energy at 0.123 eV per atom. As for the space group: Cmmm. The calculation puts the raw total energy at -2.18 eV per atom.

Geometry as CIF:
```
data_K2MgP
_chemical_formula_sum 'K2 Mg1 P1'
_symmetry_space_group_name_H-M 'P 1'
_symmetry_Int_Tables_number 1
_cell_length_a 4.761
_cell_length_b 4.761
_cell_length_c 5.156
_cell_angle_alpha 90.00
_cell_angle_beta 90.00
_cell_angle_gamma 100.80
loop_
_symmetry_equiv_pos_as_xyz
'x,y,z'
loop_
_atom_site_label
_atom_site_fract_x
_atom_site_fract_y
_atom_site_fract_z
K1 0.000 0.500 0.000
K2 0.500 0.000 0.000
Mg1 0.000 0.000 0.500
P1 0.500 0.500 0.500
```

***

Here is crystalline KMg2P at its relaxed geometry from Alexandria. Energies are from PBE-GGA.

Calculated values
The calculation puts the formation energy at -0.263 eV per atom. As for the space group: Pm. The calculation puts the raw total energy at -2.69 eV per atom.

Geometry as CIF:
```
data_KMg2P
_chemical_formula_sum 'K1 Mg2 P1'
_symmetry_space_group_name_H-M 'P 1'
_symmetry_Int_Tables_number 1
_cell_length_a 4.282
_cell_length_b 4.283
_cell_length_c 6.818
_cell_angle_alpha 90.00
_cell_angle_beta 91.04
_cell_angle_gamma 90.00
loop_
_symmetry_equiv_pos_as_xyz
'x,y,z'
loop_
_atom_site_label
_atom_site_fract_x
_atom_site_fract_y
_atom_site_fract_z
K1 0.000 0.000 0.000
Mg1 0.483 0.000 0.541
Mg2 0.984 0.500 0.540
P1 0.491 0.500 0.748
```